First-principles (GGA-PBE) data for Rb2Cd5In3 after structural relaxation, as listed in Alexandria.

Computed properties:
- Fermi-level density of states (states/eV per atom) = 0.502
- final energy (eV/atom) = -1.5383
- SG = P-4m2
- energy above the most stable polymorph in this dataset (eV per atom) = 0.000
- energy relative to the elements (eV per atom) = -0.07

a = 5.213 Å, b = 5.213 Å, c = 11.734 Å
α = 90.00°, β = 90.00°, γ = 90.00°
Atoms (fractional coordinates):
In: 0.000 0.000 0.500
In: 0.500 0.000 0.633
In: 0.000 0.500 0.367
Cd: 0.500 0.500 0.000
Cd: 0.000 0.000 0.000
Cd: 0.500 0.500 0.500
Cd: 0.000 0.500 0.117
Cd: 0.500 0.000 0.883
Rb: 0.000 0.500 0.752
Rb: 0.500 0.000 0.248

---

First-principles (GGA-PBE) data for Rb2Cd6In after structural relaxation, as listed in Alexandria.

Computed properties:
- Fermi-level density of states (states/eV per atom) = 0.515
- final energy (eV/atom) = -1.1810
- SG = P-3m1
- energy relative to the elements (eV per atom) = -0.05

a = 6.954 Å, b = 6.758 Å, c = 6.759 Å
α = 119.99°, β = 89.99°, γ = 90.00°
Atoms (fractional coordinates):
Cd: 0.656 0.177 0.355
Cd: 0.344 0.823 0.645
Cd: 0.656 0.645 0.823
Cd: 0.656 0.177 0.823
Cd: 0.344 0.355 0.177
Cd: 0.344 0.823 0.177
Rb: 0.133 0.333 0.667
Rb: 0.867 0.667 0.333
In: 0.000 0.000 0.000

---

First-principles (GGA-PBE) data for RbCd2In2 after structural relaxation, as listed in Alexandria.

Computed properties:
- Fermi-level density of states (states/eV per atom) = 0.629
- final energy (eV/atom) = -1.7254
- SG = I4/mmm
- energy above the most stable polymorph in this dataset (eV per atom) = 0.001
- energy relative to the elements (eV per atom) = -0.07

a = 4.934 Å, b = 4.934 Å, c = 7.348 Å
α = 70.38°, β = 70.38°, γ = 90.00°
Atoms (fractional coordinates):
Rb: 0.000 0.000 0.000
Cd: 0.388 0.388 0.225
Cd: 0.612 0.612 0.775
In: 0.250 0.750 0.500
In: 0.750 0.250 0.500

---

First-principles (GGA-PBE) data for RbCd3In2 after structural relaxation, as listed in Alexandria.

Computed properties:
- Fermi-level density of states (states/eV per atom) = 0.359
- final energy (eV/atom) = -1.5901
- SG = C2/m
- energy above the most stable polymorph in this dataset (eV per atom) = 0.000
- energy relative to the elements (eV per atom) = -0.06

a = 5.049 Å, b = 9.596 Å, c = 10.211 Å
α = 52.82°, β = 75.69°, γ = 74.75°
Atoms (fractional coordinates):
Cd: 0.592 0.482 0.334
Cd: 0.992 0.681 0.335
Cd: 0.008 0.319 0.665
Cd: 0.408 0.518 0.666
Cd: 0.689 0.068 0.554
Cd: 0.311 0.932 0.446
In: 0.528 0.128 0.816
In: 0.171 0.294 0.364
In: 0.829 0.706 0.636
In: 0.472 0.872 0.184
Rb: 0.160 0.766 0.915
Rb: 0.840 0.234 0.085